#P
DFT (GGA-PBE) results for a relaxed YSc2Os crystal.

Cell lengths 9.9065, 9.9065, 9.9065 Å; angles 19.20, 19.20, 19.20 degrees
Last column: nearest neighbours and their distance in Å.
Fractional positions:
1 Y 0.0000 0.0000 0.0000  6 Y 3.30, 6 Sc 3.53
2 Sc 0.2313 0.2313 0.2313  3 Os 2.68
3 Sc 0.7687 0.7687 0.7687  3 Os 2.68
4 Os 0.5000 0.5000 0.5000  6 Sc 2.68

Magnetic moment   0.0 μB per cell


#Q
DFT (GGA-PBE) results for a relaxed YSc2Os crystal.

Cell lengths 5.9041, 5.9041, 8.4155 Å; angles 90.00, 90.00, 140.90 degrees
Last column: nearest neighbours and their distance in Å.
Fractional positions:
1 Y 0.0639 0.9361 0.7500  2 Os 2.90
2 Y 0.9361 0.0639 0.2500  2 Os 2.90
3 Sc 0.3503 0.6497 0.5633  3 Os 2.74-2.89
4 Sc 0.3503 0.6497 0.9367  3 Os 2.74-2.89
5 Sc 0.6497 0.3503 0.0633  3 Os 2.74-2.89
6 Sc 0.6497 0.3503 0.4367  3 Os 2.74-2.89
7 Os 0.2449 0.7551 0.2500  6 Sc 2.74-2.89, 2 Y 2.90
8 Os 0.7551 0.2449 0.7500  6 Sc 2.74-2.89, 2 Y 2.90

Magnetic moment   0.0 μB per cell


So which one wins? Going from most stable to least: #Q, #P.


#P
DFT (GGA-PBE) results for a relaxed YSc2Os crystal.

Cell lengths 10.6049, 10.6049, 10.6049 Å; angles 157.12, 157.12, 32.57 degrees
Last column: nearest neighbours and their distance in Å.
Fractional positions:
1 Y 0.0000 0.0000 0.0000  4 Os 2.97, 4 Sc 2.99
2 Y 0.7500 0.2500 0.5000  4 Os 2.97, 4 Sc 2.99
3 Sc 0.1543 0.6250 0.0293  2 Sc 2.81, 2 Os 2.91, 2 Y 2.99
4 Sc 0.3750 0.4043 0.5293  2 Sc 2.81, 2 Os 2.91, 2 Y 2.99
5 Sc 0.5957 0.1250 0.9707  2 Sc 2.81, 2 Os 2.91, 2 Y 2.99
6 Sc 0.8750 0.8457 0.4707  2 Sc 2.81, 2 Os 2.91, 2 Y 2.99
7 Os 0.2500 0.7500 0.5000  4 Sc 2.91, 4 Y 2.97
8 Os 0.5000 0.5000 0.0000  4 Sc 2.91, 4 Y 2.97

Magnetic moment   0.0 μB per cell


#Q
DFT (GGA-PBE) results for a relaxed YSc2Os crystal.

Cell lengths 3.2963, 4.4450, 6.0824 Å; angles 90.00, 104.73, 90.00 degrees
Last column: nearest neighbours and their distance in Å.
Fractional positions:
1 Y 0.0000 0.0000 0.0000  2 Os 3.07, 8 Sc 3.18-3.32, 2 Y 3.30
2 Sc 0.3219 0.5000 0.7109  2 Os 2.70, 1 Sc 2.88
3 Sc 0.6781 0.5000 0.2891  2 Os 2.70, 1 Sc 2.88
4 Os 0.5000 0.0000 0.5000  4 Sc 2.70

Magnetic moment   0.0 μB per cell


#R
DFT (GGA-PBE) results for a relaxed YSc2Os crystal.

Cell lengths 4.2151, 4.2151, 4.7686 Å; angles 90.00, 90.00, 90.00 degrees
Last column: nearest neighbours and their distance in Å.
Fractional positions:
1 Y 0.0000 0.0000 0.0000  4 Os 2.98, 8 Sc 3.18
2 Sc 0.0000 0.5000 0.5000  4 Sc 2.98, 4 Os 3.18, 4 Y 3.18
3 Sc 0.5000 0.0000 0.5000  4 Sc 2.98, 4 Os 3.18, 4 Y 3.18
4 Os 0.5000 0.5000 0.0000  4 Y 2.98, 8 Sc 3.18

Magnetic moment   0.0 μB per cell


#S
DFT (GGA-PBE) results for a relaxed YSc2Os crystal.

Cell lengths 3.3490, 3.3490, 8.1778 Å; angles 90.00, 90.00, 90.00 degrees
Last column: nearest neighbours and their distance in Å.
Fractional positions:
1 Y 0.0000 0.0000 0.0000  4 Os 2.94, 1 Sc 3.18
2 Sc 0.0000 0.0000 0.6112  4 Os 2.77
3 Sc 0.5000 0.5000 0.3306  8 Sc 3.30-3.35, 4 Y 3.59
4 Os 0.5000 0.5000 0.7864  4 Sc 2.77, 4 Y 2.94

Magnetic moment   1.1 μB per cell


So which one wins? Going from most stable to least: #S, #Q, #R, #P.


#P
DFT (GGA-PBE) results for a relaxed YSc2Os crystal.

Cell lengths 4.8805, 4.8805, 4.8805 Å; angles 60.00, 60.00, 60.00 degrees
Last column: nearest neighbours and their distance in Å.
Fractional positions:
1 Y 0.0000 0.0000 0.0000  8 Sc 2.99
2 Sc 0.2500 0.2500 0.2500  4 Os 2.99, 4 Y 2.99
3 Sc 0.7500 0.7500 0.7500  4 Os 2.99, 4 Y 2.99
4 Os 0.5000 0.5000 0.5000  8 Sc 2.99

Magnetic moment   0.0 μB per cell


#Q
DFT (GGA-PBE) results for a relaxed YSc2Os crystal.

Cell lengths 3.2584, 3.2584, 8.5559 Å; angles 90.00, 90.00, 90.00 degrees
Last column: nearest neighbours and their distance in Å.
Fractional positions:
1 Y 0.0000 0.0000 0.0000  4 Y 3.26, 8 Sc 3.58
2 Sc 0.5000 0.5000 0.3208  4 Os 2.77, 1 Sc 3.07
3 Sc 0.5000 0.5000 0.6792  4 Os 2.77, 1 Sc 3.07
4 Os 0.0000 0.0000 0.5000  8 Sc 2.77

Magnetic moment   0.0 μB per cell


So which one wins? Going from most stable to least: #Q, #P.


#P
DFT (GGA-PBE) results for a relaxed YSc2Os crystal.

Cell lengths 6.0265, 6.0265, 6.0265 Å; angles 146.75, 131.92, 59.70 degrees
Last column: nearest neighbours and their distance in Å.
Fractional positions:
1 Y 0.0000 0.0000 0.0000  2 Os 2.83, 4 Sc 3.16
2 Sc 0.2923 0.7923 0.5000  4 Os 3.00, 2 Sc 3.20, 2 Y 3.28
3 Sc 0.5956 0.5956 0.0000  2 Os 2.63
4 Os 0.7858 0.2858 0.5000  2 Sc 2.63, 2 Y 2.83

Magnetic moment   0.0 μB per cell


#Q
DFT (GGA-PBE) results for a relaxed YSc2Os crystal.

Cell lengths 4.9023, 4.9023, 4.9023 Å; angles 119.90, 119.90, 90.17 degrees
Last column: nearest neighbours and their distance in Å.
Fractional positions:
1 Y 0.0000 0.0000 0.0000  4 Os 3.00, 4 Sc 3.00
2 Sc 0.2500 0.7500 0.5000  4 Sc 3.00, 4 Y 3.00
3 Sc 0.5000 0.5000 0.0000  4 Os 3.00, 4 Sc 3.00
4 Os 0.7500 0.2500 0.5000  4 Sc 3.00, 4 Y 3.00

Magnetic moment   0.0 μB per cell


So which one wins? Going from most stable to least: #P, #Q.


#P
DFT (GGA-PBE) results for a relaxed YSc2Os crystal.

Cell lengths 5.7877, 5.7877, 3.1404 Å; angles 102.87, 102.87, 118.16 degrees
Last column: nearest neighbours and their distance in Å.
Fractional positions:
1 Y 0.0000 0.0000 0.0000  4 Sc 2.97, 4 Os 2.97-3.26, 2 Y 3.14
2 Sc 0.0000 0.5000 0.5000  2 Os 2.97, 2 Y 2.97, 6 Sc 2.97-3.26
3 Sc 0.5000 0.0000 0.5000  2 Os 2.97, 2 Y 2.97, 6 Sc 2.97-3.26
4 Os 0.5000 0.5000 0.0000  4 Sc 2.97, 4 Y 2.97-3.26, 2 Os 3.14

Magnetic moment   0.0 μB per cell


#Q
DFT (GGA-PBE) results for a relaxed YSc2Os crystal.

Cell lengths 6.0250, 6.0250, 6.0250 Å; angles 147.16, 130.34, 60.82 degrees
Last column: nearest neighbours and their distance in Å.
Fractional positions:
1 Y 0.0000 0.0000 0.0000  4 Os 3.05, 4 Sc 3.28, 2 Y 3.41
2 Sc 0.2989 0.7989 0.5000  2 Os 2.70
3 Sc 0.7011 0.2011 0.5000  2 Os 2.70
4 Os 0.5000 0.5000 0.0000  4 Sc 2.70

Magnetic moment   0.0 μB per cell


So which one wins? Going from most stable to least: #Q, #P.


#P
DFT (GGA-PBE) results for a relaxed YScOs crystal.

Cell lengths 4.6075, 4.6075, 3.4015 Å; angles 90.00, 90.00, 120.00 degrees
Last column: nearest neighbours and their distance in Å.
Fractional positions:
1 Y 0.0000 0.0000 0.0000  3 Os 2.92, 6 Sc 3.06-3.27
2 Sc 0.6667 0.3333 0.5582  3 Os 2.75, 3 Y 3.06
3 Os 0.3333 0.6667 0.3541  3 Sc 2.75, 3 Y 2.92

Magnetic moment   0.0 μB per cell


#Q
DFT (GGA-PBE) results for a relaxed YScOs crystal.

Cell lengths 4.6298, 4.6298, 4.6298 Å; angles 60.00, 60.00, 60.00 degrees
Last column: nearest neighbours and their distance in Å.
Fractional positions:
1 Y 0.0000 0.0000 0.0000  4 Os 2.84, 4 Sc 2.84
2 Sc 0.7500 0.7500 0.7500  4 Y 2.84
3 Os 0.2500 0.2500 0.2500  4 Y 2.84

Magnetic moment   0.0 μB per cell


#R
DFT (GGA-PBE) results for a relaxed YScOs crystal.

Cell lengths 7.3391, 7.3391, 4.1762 Å; angles 90.00, 90.00, 120.00 degrees
Last column: nearest neighbours and their distance in Å.
Fractional positions:
1 Y 0.0000 0.5856 0.0000  5 Os 3.04, 6 Sc 3.23-3.38
2 Y 0.4144 0.4144 0.0000  5 Os 3.04, 6 Sc 3.23-3.38
3 Y 0.5856 0.0000 0.0000  5 Os 3.04, 6 Sc 3.23-3.38
4 Sc 0.0000 0.2506 0.5000  4 Os 2.78-2.80
5 Sc 0.2506 0.0000 0.5000  4 Os 2.78-2.80
6 Sc 0.7494 0.7494 0.5000  4 Os 2.78-2.80
7 Os 0.0000 0.0000 0.0000  6 Sc 2.78, 3 Y 3.04
8 Os 0.3333 0.6667 0.5000  3 Sc 2.80, 6 Y 3.04
9 Os 0.6667 0.3333 0.5000  3 Sc 2.80, 6 Y 3.04

Magnetic moment   0.0 μB per cell


#S
DFT (GGA-PBE) results for a relaxed YScOs crystal.

Cell lengths 6.6379, 6.6379, 6.6379 Å; angles 151.07, 151.07, 41.37 degrees
Last column: nearest neighbours and their distance in Å.
Fractional positions:
1 Y 0.0000 0.0000 0.0000  4 Os 2.93, 1 Sc 3.20
2 Sc 0.7426 0.7426 0.0000  4 Os 2.76
3 Os 0.3591 0.3591 0.0000  4 Sc 2.76, 4 Y 2.93

Magnetic moment   0.0 μB per cell


So which one wins? Going from most stable to least: #R, #S, #P, #Q.


#P
DFT (GGA-PBE) results for a relaxed YSc2Os2 crystal.

Cell lengths 6.6064, 6.6064, 6.6064 Å; angles 142.57, 142.57, 53.98 degrees
Last column: nearest neighbours and their distance in Å.
Fractional positions:
1 Y 0.0000 0.0000 0.0000  8 Os 3.24, 8 Sc 3.63
2 Sc 0.2500 0.7500 0.5000  4 Os 2.72, 4 Sc 3.00
3 Sc 0.7500 0.2500 0.5000  4 Os 2.72, 4 Sc 3.00
4 Os 0.3953 0.3953 0.0000  1 Os 2.47, 4 Sc 2.72
5 Os 0.6047 0.6047 0.0000  1 Os 2.47, 4 Sc 2.72

Magnetic moment   0.0 μB per cell


#Q
DFT (GGA-PBE) results for a relaxed YSc2Os2 crystal.

Cell lengths 7.7423, 7.7423, 3.2746 Å; angles 90.00, 90.00, 90.00 degrees
Last column: nearest neighbours and their distance in Å.
Fractional positions:
1 Y 0.0000 0.0000 0.0000  4 Os 2.93, 2 Y 3.27
2 Y 0.5000 0.5000 0.0000  4 Os 2.93, 2 Y 3.27
3 Sc 0.1416 0.3584 0.5000  6 Os 2.78-2.81, 1 Sc 3.10
4 Sc 0.3584 0.8584 0.5000  6 Os 2.78-2.81, 1 Sc 3.10
5 Sc 0.6416 0.1416 0.5000  6 Os 2.78-2.81, 1 Sc 3.10
6 Sc 0.8584 0.6416 0.5000  6 Os 2.78-2.81, 1 Sc 3.10
7 Os 0.1534 0.6534 0.0000  6 Sc 2.78-2.81, 2 Y 2.93
8 Os 0.3466 0.1534 0.0000  6 Sc 2.78-2.81, 2 Y 2.93
9 Os 0.6534 0.8466 0.0000  6 Sc 2.78-2.81, 2 Y 2.93
10 Os 0.8466 0.3466 0.0000  6 Sc 2.78-2.81, 2 Y 2.93

Magnetic moment   0.0 μB per cell


So which one wins? Going from most stable to least: #Q, #P.


#P
DFT (GGA-PBE) results for a relaxed Y2ScOs2 crystal.

Cell lengths 7.1165, 7.1165, 4.3970 Å; angles 90.00, 90.00, 90.00 degrees
Last column: nearest neighbours and their distance in Å.
Fractional positions:
1 Y 0.1764 0.3236 0.0000  6 Os 2.99-3.08
2 Y 0.3236 0.8236 0.0000  6 Os 2.99-3.08
3 Y 0.6764 0.1764 0.0000  6 Os 2.99-3.08
4 Y 0.8236 0.6764 0.0000  6 Os 2.99-3.08
5 Sc 0.0000 0.0000 0.5000  4 Os 2.83
6 Sc 0.5000 0.5000 0.5000  4 Os 2.83
7 Os 0.1219 0.6219 0.5000  1 Os 2.45
8 Os 0.3781 0.1219 0.5000  1 Os 2.45
9 Os 0.6219 0.8781 0.5000  1 Os 2.45
10 Os 0.8781 0.3781 0.5000  1 Os 2.45

Magnetic moment   0.0 μB per cell


#Q
DFT (GGA-PBE) results for a relaxed Y2ScOs2 crystal.

Cell lengths 5.6758, 5.6758, 4.2908 Å; angles 112.13, 112.13, 62.66 degrees
Last column: nearest neighbours and their distance in Å.
Fractional positions:
1 Y 0.2064 0.2064 0.2066  6 Os 3.06-3.07, 2 Sc 3.33-3.34
2 Y 0.7936 0.7936 0.7934  6 Os 3.06-3.07, 2 Sc 3.33-3.34
3 Sc 0.5000 0.5000 0.0000  4 Os 2.74
4 Os 0.2122 0.7878 0.5000  1 Os 2.51, 2 Sc 2.74
5 Os 0.7878 0.2122 0.5000  1 Os 2.51, 2 Sc 2.74

Magnetic moment   0.0 μB per cell


So which one wins? Going from most stable to least: #Q, #P.


#P
DFT (GGA-PBE) results for a relaxed Sc4ZnOs crystal.

Cell lengths 4.5632, 4.5632, 6.4755 Å; angles 90.05, 90.05, 90.00 degrees
Last column: nearest neighbours and their distance in Å.
Fractional positions:
1 Sc 0.9999 0.4995 0.2378  2 Os 2.75, 2 Zn 2.84, 1 Sc 3.08
2 Sc 0.0001 0.5005 0.7622  2 Os 2.75, 2 Zn 2.84, 1 Sc 3.08
3 Sc 0.4995 0.9999 0.2378  2 Os 2.75, 2 Zn 2.84, 1 Sc 3.08
4 Sc 0.5005 0.0001 0.7622  2 Os 2.75, 2 Zn 2.84, 1 Sc 3.08
5 Zn 0.0000 0.0000 0.5000  8 Sc 2.84
6 Os 0.5000 0.5000 0.0000  8 Sc 2.75

Magnetic moment   0.0 μB per cell


#Q
DFT (GGA-PBE) results for a relaxed Sc4ZnOs crystal.

Cell lengths 5.4737, 5.4737, 5.4737 Å; angles 60.00, 60.00, 60.00 degrees
Last column: nearest neighbours and their distance in Å.
Fractional positions:
1 Sc 0.3774 0.3774 0.3774  6 Sc 2.69-2.79
2 Sc 0.3774 0.3774 0.8679  6 Sc 2.69-2.79
3 Sc 0.3774 0.8679 0.3774  6 Sc 2.69-2.79
4 Sc 0.8679 0.3774 0.3774  6 Sc 2.69-2.79
5 Zn 0.0000 0.0000 0.0000  12 Sc 3.21, 4 Os 3.35
6 Os 0.7500 0.7500 0.7500  12 Sc 3.20, 4 Zn 3.35

Magnetic moment   0.0 μB per cell


#R
DFT (GGA-PBE) results for a relaxed Sc4ZnOs crystal.

Cell lengths 3.2728, 3.2728, 11.4610 Å; angles 90.00, 90.00, 90.00 degrees
Last column: nearest neighbours and their distance in Å.
Fractional positions:
1 Sc 0.0000 0.0000 0.1330  4 Os 2.77, 1 Sc 3.05
2 Sc 0.0000 0.0000 0.8670  4 Os 2.77, 1 Sc 3.05
3 Sc 0.5000 0.5000 0.3546  4 Zn 2.85
4 Sc 0.5000 0.5000 0.6454  4 Zn 2.85
5 Zn 0.0000 0.0000 0.5000  8 Sc 2.85
6 Os 0.5000 0.5000 0.0000  8 Sc 2.77

Magnetic moment   0.0 μB per cell


So which one wins? Going from most stable to least: #R, #P, #Q.


#P
DFT (GGA-PBE) results for a relaxed Sc3ZnOs crystal.

Cell lengths 4.8209, 4.8209, 4.8209 Å; angles 90.00, 90.00, 90.00 degrees
Last column: nearest neighbours and their distance in Å.
Fractional positions:
1 Sc 0.0000 0.0000 0.5000  2 Zn 2.41
2 Sc 0.0000 0.5000 0.0000  2 Zn 2.41
3 Sc 0.5000 0.0000 0.0000  2 Zn 2.41
4 Zn 0.0000 0.0000 0.0000  6 Sc 2.41
5 Os 0.5000 0.5000 0.5000  12 Sc 3.41

Magnetic moment   0.0 μB per cell


#Q
DFT (GGA-PBE) results for a relaxed Sc3ZnOs crystal.

Cell lengths 5.0192, 5.0192, 5.0192 Å; angles 90.00, 90.00, 90.00 degrees
Last column: nearest neighbours and their distance in Å.
Fractional positions:
1 Sc 0.0000 0.0000 0.5000  2 Os 2.51
2 Sc 0.0000 0.5000 0.0000  2 Os 2.51
3 Sc 0.5000 0.0000 0.0000  2 Os 2.51
4 Zn 0.5000 0.5000 0.5000  12 Sc 3.55
5 Os 0.0000 0.0000 0.0000  6 Sc 2.51

Magnetic moment   0.0 μB per cell


So which one wins? Going from most stable to least: #Q, #P.


#P
DFT (GGA-PBE) results for a relaxed Sc2ZnOs crystal.

Cell lengths 3.3166, 3.3166, 6.8352 Å; angles 90.00, 90.00, 90.00 degrees
Last column: nearest neighbours and their distance in Å.
Fractional positions:
1 Sc 0.0000 0.0000 0.0000  1 Zn 2.80, 4 Os 2.81
2 Sc 0.5000 0.5000 0.3674  1 Os 2.78, 4 Zn 2.80
3 Zn 0.0000 0.0000 0.5908  4 Os 2.66, 5 Sc 2.80
4 Os 0.5000 0.5000 0.7742  4 Zn 2.66, 5 Sc 2.78-2.81

Magnetic moment   0.3 μB per cell


#Q
DFT (GGA-PBE) results for a relaxed Sc2ZnOs crystal.

Cell lengths 5.0481, 5.0481, 5.0481 Å; angles 132.23, 132.23, 69.87 degrees
Last column: nearest neighbours and their distance in Å.
Fractional positions:
1 Sc 0.0000 0.0000 0.0000  4 Os 2.89, 4 Sc 2.91, 4 Zn 2.91
2 Sc 0.7500 0.2500 0.5000  4 Zn 2.89, 4 Os 2.91, 4 Sc 2.91
3 Zn 0.2500 0.7500 0.5000  8 Sc 2.89-2.91, 4 Os 2.91
4 Os 0.5000 0.5000 0.0000  8 Sc 2.89-2.91, 4 Zn 2.91

Magnetic moment   0.0 μB per cell


#R
DFT (GGA-PBE) results for a relaxed Sc2ZnOs crystal.

Cell lengths 5.9179, 5.9179, 5.9179 Å; angles 102.79, 102.79, 123.86 degrees
Last column: nearest neighbours and their distance in Å.
Fractional positions:
1 Sc 0.1015 0.1250 0.4765  2 Os 2.59, 2 Sc 2.81, 2 Zn 2.82
2 Sc 0.3750 0.8985 0.0235  2 Os 2.59, 2 Sc 2.81, 2 Zn 2.82
3 Sc 0.6485 0.6250 0.5235  2 Os 2.59, 2 Sc 2.81, 2 Zn 2.82
4 Sc 0.8750 0.3515 0.9765  2 Os 2.59, 2 Sc 2.81, 2 Zn 2.82
5 Zn 0.2500 0.7500 0.5000  2 Os 2.78, 4 Sc 2.82
6 Zn 0.5000 0.5000 0.0000  2 Os 2.78, 4 Sc 2.82
7 Os 0.0000 0.0000 0.0000  4 Sc 2.59, 2 Zn 2.78
8 Os 0.7500 0.2500 0.5000  4 Sc 2.59, 2 Zn 2.78

Magnetic moment   0.0 μB per cell


So which one wins? Going from most stable to least: #Q, #P, #R.